i:
Material: SmTaFe
Method: DFT, PBE-GGA
State: relaxed

a = 4.5288 Å, b = 4.5288 Å, c = 4.5288 Å
α = 60.00°, β = 60.00°, γ = 60.00°
Closest atoms and distances in Å follow each position.
Element x y z (fractional)
Fe  0.2500  0.2500  0.2500  4 Sm 2.77
Sm  0.0000  0.0000  0.0000  4 Ta 2.77, 4 Fe 2.77
Ta  0.7500  0.7500  0.7500  4 Sm 2.77

Summary:
* crystal system: cubic
* space-group type: F-43m

---

ii:
Material: SmTaFe
Method: DFT, PBE-GGA
State: relaxed

a = 4.4569 Å, b = 4.4569 Å, c = 4.4569 Å
α = 60.00°, β = 60.00°, γ = 60.00°
Closest atoms and distances in Å follow each position.
Element x y z (fractional)
Fe  0.0000  0.0000  0.0000  4 Ta 2.73, 4 Sm 2.73
Sm  0.2500  0.2500  0.2500  4 Fe 2.73
Ta  0.7500  0.7500  0.7500  4 Fe 2.73

Summary:
* crystal system: cubic
* space-group type: F-43m

---

We find ii to be the most stable, with the next structure 108.3 kJ/mol of atoms higher.

---

i:
Material: SmFeW
Method: DFT, PBE-GGA
State: relaxed

a = 4.3992 Å, b = 4.3992 Å, c = 4.3992 Å
α = 60.00°, β = 60.00°, γ = 60.00°
Closest atoms and distances in Å follow each position.
Element x y z (fractional)
Fe  0.0000  0.0000  0.0000  4 Sm 2.69, 4 W 2.69
Sm  0.2500  0.2500  0.2500  4 Fe 2.69
W  0.7500  0.7500  0.7500  4 Fe 2.69

Summary:
* crystal system: cubic
* space-group type: F-43m

---

ii:
Material: SmFeW
Method: DFT, PBE-GGA
State: relaxed

a = 4.5573 Å, b = 4.5573 Å, c = 4.5573 Å
α = 60.00°, β = 60.00°, γ = 60.00°
Closest atoms and distances in Å follow each position.
Element x y z (fractional)
Fe  0.2500  0.2500  0.2500  4 Sm 2.79
Sm  0.0000  0.0000  0.0000  4 W 2.79, 4 Fe 2.79
W  0.7500  0.7500  0.7500  4 Sm 2.79

Summary:
* crystal system: cubic
* space-group type: F-43m

---

We find i to be the most stable, with the next structure 113.3 kJ/mol of atoms higher.

---

i:
Material: TaZnFeSn
Method: DFT, PBE-GGA
State: relaxed

a = 4.4719 Å, b = 4.4719 Å, c = 4.4719 Å
α = 60.00°, β = 60.00°, γ = 60.00°
Closest atoms and distances in Å follow each position.
Element x y z (fractional)
Fe  0.7500  0.7500  0.7500  4 Ta 2.74, 4 Sn 2.74
Sn  0.0000  0.0000  0.0000  4 Zn 2.74, 4 Fe 2.74
Ta  0.5000  0.5000  0.5000  4 Fe 2.74, 4 Zn 2.74
Zn  0.2500  0.2500  0.2500  4 Sn 2.74, 4 Ta 2.74

Summary:
* crystal system: cubic
* space-group type: F-43m

---

ii:
Material: TaZnFeSn
Method: DFT, PBE-GGA
State: relaxed

a = 4.5326 Å, b = 4.5326 Å, c = 4.5326 Å
α = 60.00°, β = 60.00°, γ = 60.00°
Closest atoms and distances in Å follow each position.
Element x y z (fractional)
Fe  0.7500  0.7500  0.7500  4 Zn 2.78, 4 Sn 2.78
Sn  0.0000  0.0000  0.0000  4 Ta 2.78, 4 Fe 2.78
Ta  0.2500  0.2500  0.2500  4 Zn 2.78, 4 Sn 2.78
Zn  0.5000  0.5000  0.5000  4 Fe 2.78, 4 Ta 2.78

Summary:
* crystal system: cubic
* space-group type: F-43m

---

We find i to be the most stable, with the next structure 17.9 kJ/mol of atoms higher.

---

i:
Material: YZnFeSn
Method: DFT, PBE-GGA
State: relaxed

a = 4.7396 Å, b = 4.7396 Å, c = 4.7396 Å
α = 60.00°, β = 60.00°, γ = 60.00°
Closest atoms and distances in Å follow each position.
Element x y z (fractional)
Fe  0.7500  0.7500  0.7500  4 Sn 2.90, 4 Y 2.90
Sn  0.0000  0.0000  0.0000  4 Fe 2.90, 4 Zn 2.90
Y  0.5000  0.5000  0.5000  4 Fe 2.90, 4 Zn 2.90
Zn  0.2500  0.2500  0.2500  4 Y 2.90, 4 Sn 2.90

Summary:
* crystal system: cubic
* space-group type: F-43m

---

ii:
Material: YZnFeSn
Method: DFT, PBE-GGA
State: relaxed

a = 4.8102 Å, b = 4.8102 Å, c = 4.8102 Å
α = 60.00°, β = 60.00°, γ = 60.00°
Closest atoms and distances in Å follow each position.
Element x y z (fractional)
Fe  0.7500  0.7500  0.7500  4 Zn 2.95, 4 Sn 2.95
Sn  0.0000  0.0000  0.0000  4 Fe 2.95, 4 Y 2.95
Y  0.2500  0.2500  0.2500  4 Zn 2.95, 4 Sn 2.95
Zn  0.5000  0.5000  0.5000  4 Y 2.95, 4 Fe 2.95

Summary:
* crystal system: cubic
* space-group type: F-43m

---

We find i to be the most stable, with the next structure 1.0 kJ/mol of atoms higher.

---

i:
Material: TaTlFeTc
Method: DFT, PBE-GGA
State: relaxed

a = 4.5772 Å, b = 4.5772 Å, c = 4.5772 Å
α = 60.00°, β = 60.00°, γ = 60.00°
Closest atoms and distances in Å follow each position.
Element x y z (fractional)
Fe  0.7500  0.7500  0.7500  4 Tc 2.80, 4 Tl 2.80
Ta  0.2500  0.2500  0.2500  4 Tl 2.80, 4 Tc 2.80
Tc  0.5000  0.5000  0.5000  4 Fe 2.80, 4 Ta 2.80
Tl  0.0000  0.0000  0.0000  4 Fe 2.80, 4 Ta 2.80

Summary:
* crystal system: cubic
* space-group type: F-43m

---

ii:
Material: TaTlFeTc
Method: DFT, PBE-GGA
State: relaxed

a = 4.5009 Å, b = 4.5009 Å, c = 4.5009 Å
α = 60.00°, β = 60.00°, γ = 60.00°
Closest atoms and distances in Å follow each position.
Element x y z (fractional)
Fe  0.7500  0.7500  0.7500  4 Ta 2.76, 4 Tl 2.76
Ta  0.5000  0.5000  0.5000  4 Fe 2.76, 4 Tc 2.76
Tc  0.2500  0.2500  0.2500  4 Ta 2.76, 4 Tl 2.76
Tl  0.0000  0.0000  0.0000  4 Fe 2.76, 4 Tc 2.76

Summary:
* crystal system: cubic
* space-group type: F-43m

---

We find ii to be the most stable, with the next structure 26.8 kJ/mol of atoms higher.

---

i:
Material: TaTlZnFe
Method: DFT, PBE-GGA
State: relaxed

a = 4.5699 Å, b = 4.5699 Å, c = 4.5699 Å
α = 60.00°, β = 60.00°, γ = 60.00°
Closest atoms and distances in Å follow each position.
Element x y z (fractional)
Fe  0.7500  0.7500  0.7500  4 Zn 2.80, 4 Tl 2.80
Ta  0.2500  0.2500  0.2500  4 Zn 2.80, 4 Tl 2.80
Tl  0.0000  0.0000  0.0000  4 Ta 2.80, 4 Fe 2.80
Zn  0.5000  0.5000  0.5000  4 Fe 2.80, 4 Ta 2.80

Summary:
* crystal system: cubic
* space-group type: F-43m

---

ii:
Material: TaTlZnFe
Method: DFT, PBE-GGA
State: relaxed

a = 4.4784 Å, b = 4.4784 Å, c = 4.4784 Å
α = 60.00°, β = 60.00°, γ = 60.00°
Closest atoms and distances in Å follow each position.
Element x y z (fractional)
Fe  0.7500  0.7500  0.7500  4 Tl 2.74, 4 Ta 2.74
Ta  0.5000  0.5000  0.5000  4 Zn 2.74, 4 Fe 2.74
Tl  0.0000  0.0000  0.0000  4 Fe 2.74, 4 Zn 2.74
Zn  0.2500  0.2500  0.2500  4 Ta 2.74, 4 Tl 2.74

Summary:
* crystal system: cubic
* space-group type: F-43m

---

We find ii to be the most stable, with the next structure 17.2 kJ/mol of atoms higher.